# 1
Computed, not measured: TaCr2Os after structural relaxation at the PBE level of DFT.

V (Å³ per cell): 56
E_form (kJ/mol of atoms): -1.4
Magnetic moment (μB per formula unit): 0.0
DOS at the Fermi energy (states/eV per atom): 1.017
E above lowest polymorph (meV/atom): 22

a = 5.021 Å, b = 5.021 Å, c = 4.333 Å
α = 64.38°, β = 64.38°, γ = 34.93°
Atoms (fractional coordinates):
1 Cr 0.989 0.989 0.011
2 Cr 0.261 0.261 0.239
3 Os 0.506 0.506 0.494
4 Ta 0.744 0.744 0.756

***

# 2
Computed, not measured: AlCuHg after structural relaxation at the PBE level of DFT.

V (Å³ per cell): 52
E_form (kJ/mol of atoms): 10.8
Magnetic moment (μB per formula unit): 0.0
DOS at the Fermi energy (states/eV per atom): 0.294
E above lowest polymorph (meV/atom): 9

a = 6.422 Å, b = 6.423 Å, c = 2.921 Å
α = 76.85°, β = 76.86°, γ = 26.29°
Atoms (fractional coordinates):
1 Hg 0.676 0.676 0.324
2 Cu 0.349 0.349 0.651
3 Al 0.975 0.975 0.025

***

# 3
Computed, not measured: Cs2InAu2 after structural relaxation at the PBE level of DFT.

V (Å³ per cell): 357
E_form (kJ/mol of atoms): -16.9
Magnetic moment (μB per formula unit): 0.0
DOS at the Fermi energy (states/eV per atom): 0.731
E above lowest polymorph (meV/atom): 101

a = 7.962 Å, b = 7.962 Å, c = 5.636 Å
α = 90.00°, β = 90.00°, γ = 90.00°
Atoms (fractional coordinates):
1 Cs 0.172 0.672 0.500
2 Cs 0.672 0.828 0.500
3 Cs 0.828 0.328 0.500
4 Cs 0.328 0.172 0.500
5 Au 0.367 0.867 0.000
6 Au 0.867 0.633 0.000
7 Au 0.633 0.133 0.000
8 Au 0.133 0.367 0.000
9 In 0.000 0.000 0.000
10 In 0.500 0.500 0.000

***

# 4
Computed, not measured: Zn2NiAs after structural relaxation at the PBE level of DFT.

V (Å³ per cell): 61
E_form (kJ/mol of atoms): 8.6
Magnetic moment (μB per formula unit): 0.0
DOS at the Fermi energy (states/eV per atom): 0.606

a = 8.328 Å, b = 8.328 Å, c = 8.328 Å
α = 20.27°, β = 20.27°, γ = 20.27°
Atoms (fractional coordinates):
1 As 0.250 0.250 0.250
2 Ni 0.750 0.750 0.750
3 Zn 0.009 0.009 0.009
4 Zn 0.491 0.491 0.491

***

# 5
Computed, not measured: PrCd4Pt2 after structural relaxation at the PBE level of DFT.

V (Å³ per cell): 312
E_form (kJ/mol of atoms): -48.2
Magnetic moment (μB per formula unit): 0.0
DOS at the Fermi energy (states/eV per atom): 0.448
E above lowest polymorph (meV/atom): 0

a = 4.152 Å, b = 8.673 Å, c = 8.673 Å
α = 90.00°, β = 90.00°, γ = 90.00°
Atoms (fractional coordinates):
1 Pr 0.500 0.000 0.000
2 Pr 0.000 0.500 0.500
3 Pt 0.000 0.182 0.818
4 Pt 0.000 0.818 0.182
5 Pt 0.500 0.682 0.682
6 Pt 0.500 0.318 0.318
7 Cd 0.000 0.097 0.339
8 Cd 0.000 0.903 0.661
9 Cd 0.500 0.161 0.597
10 Cd 0.500 0.839 0.403
11 Cd 0.500 0.403 0.839
12 Cd 0.500 0.597 0.161
13 Cd 0.000 0.339 0.097
14 Cd 0.000 0.661 0.903

***

# 6
Computed, not measured: BaLaB12 after structural relaxation at the PBE level of DFT.

V (Å³ per cell): 150
E_form (kJ/mol of atoms): -47.4
Magnetic moment (μB per formula unit): 0.0
DOS at the Fermi energy (states/eV per atom): 0.077
E above lowest polymorph (meV/atom): 0

a = 4.211 Å, b = 4.211 Å, c = 8.431 Å
α = 90.00°, β = 90.00°, γ = 90.00°
Atoms (fractional coordinates):
1 Ba 0.000 0.000 0.000
2 La 0.000 0.000 0.500
3 B 0.202 0.500 0.254
4 B 0.202 0.500 0.746
5 B 0.500 0.500 0.401
6 B 0.500 0.500 0.897
7 B 0.500 0.202 0.254
8 B 0.500 0.202 0.746
9 B 0.500 0.500 0.103
10 B 0.500 0.500 0.599
11 B 0.500 0.798 0.254
12 B 0.500 0.798 0.746
13 B 0.798 0.500 0.254
14 B 0.798 0.500 0.746

***

E_form of number 6 (BaLaB12)?
-47.4 kJ/mol of atoms

***

Among the records above, which one has the highest V?
Cs2InAu2

***

Look up the E_form of the fifth one.
-48.2 kJ/mol of atoms